Entry 1:
A relaxed structure of CaCdInBi. Source: the Alexandria database, functional PBE.

Unit cell a=4.613 b=4.665 c=5.142 alpha=90.00 beta=90.00 gamma=90.00
Fractional coordinates of all 4 atoms:
Ca: 0.000 0.000 0.000
Cd: 0.000 0.500 0.500
In: 0.500 0.000 0.500
Bi: 0.500 0.500 0.000

Values from the calculation:
For the energy above the most stable polymorph in this dataset, the calculation gives 0.000 eV/atom. Its space group is No. 47.


Entry 2:
A relaxed structure of PrDyCd2. Source: the Alexandria database, functional PBE.

Unit cell a=7.633 b=7.633 c=7.633 alpha=90.00 beta=90.00 gamma=90.00
Fractional coordinates of all 16 atoms:
Pr: 0.000 0.000 0.000
Pr: 0.000 0.500 0.500
Pr: 0.500 0.000 0.500
Pr: 0.500 0.500 0.000
Dy: 0.000 0.000 0.500
Dy: 0.000 0.500 0.000
Dy: 0.500 0.000 0.000
Dy: 0.500 0.500 0.500
Cd: 0.250 0.250 0.250
Cd: 0.250 0.250 0.750
Cd: 0.250 0.750 0.250
Cd: 0.250 0.750 0.750
Cd: 0.750 0.250 0.250
Cd: 0.750 0.250 0.750
Cd: 0.750 0.750 0.250
Cd: 0.750 0.750 0.750

Values from the calculation:
For the energy above the most stable polymorph in this dataset, the calculation gives 0.003 eV/atom. Its space group is No. 225.


Entry 3:
A relaxed structure of La5Pr2NdY. Source: the Alexandria database, functional PBE.

Unit cell a=10.210 b=10.210 c=10.210 alpha=127.10 beta=127.10 gamma=78.08
Fractional coordinates of all 18 atoms:
La: 0.000 0.000 0.000
La: 0.071 0.571 0.923
La: 0.148 0.071 0.500
La: 0.352 0.852 0.923
La: 0.429 0.352 0.500
La: 0.500 0.500 0.000
La: 0.571 0.648 0.500
La: 0.648 0.148 0.077
La: 0.852 0.929 0.500
La: 0.929 0.429 0.077
Pr: 0.116 0.384 0.500
Pr: 0.384 0.884 0.267
Pr: 0.616 0.116 0.733
Pr: 0.884 0.616 0.500
Nd: 0.250 0.250 0.000
Nd: 0.750 0.750 0.000
Y: 0.250 0.750 0.500
Y: 0.750 0.250 0.500

Values from the calculation:
Its space group is No. 140. The total energy is -4.793 eV per atom.